[1]
# NaLiMg6O7 | Alexandria | PBE-GGA | optimized geometry
data_NaLiMg6O7
_chemical_formula_sum 'Na1 Li1 Mg6 O7'
_symmetry_space_group_name_H-M 'P 4 m m'
_symmetry_Int_Tables_number 99
_cell_length_a 4.304
_cell_length_b 4.304
_cell_length_c 8.669
_cell_angle_alpha 90.00
_cell_angle_beta 90.00
_cell_angle_gamma 90.00
loop_
_symmetry_equiv_pos_as_xyz
'x,y,z'
'-y,x,z'
'-x,-y,z'
'y,-x,z'
'-x,y,z'
'y,x,z'
'x,-y,z'
'-y,-x,z'
loop_
_atom_site_label
_atom_site_fract_x
_atom_site_fract_y
_atom_site_fract_z
Na1 0.000 0.000 0.000
Li1 0.500 0.500 0.981
Mg1 0.000 0.000 0.495
Mg2 0.000 0.500 0.234
Mg3 0.000 0.500 0.776
Mg4 0.500 0.500 0.522
O1 0.000 0.000 0.260
O2 0.000 0.000 0.731
O3 0.000 0.500 0.012
O4 0.000 0.500 0.474
O5 0.500 0.500 0.748
# Uncorrected formation energy (eV/f.u.): -32.7
# D(E_F) (states/eV per atom): 0.18
# ΔE to the lowest computed polymorph (eV/atom): 0.062

[2]
# Ac3PrNi8 | Alexandria | PBE-GGA | optimized geometry
data_Ac3PrNi8
_chemical_formula_sum 'Ac9 Pr3 Ni24'
_symmetry_space_group_name_H-M 'R 3 m'
_symmetry_Int_Tables_number 160
_symmetry_space_group_name_Hall 'R 3 -2"'
_cell_length_a 5.3173
_cell_length_b 5.3173
_cell_length_c 26.0936
_cell_angle_alpha 90.00
_cell_angle_beta 90.00
_cell_angle_gamma 120.00
loop_
_atom_site_label
_atom_site_fract_x
_atom_site_fract_y
_atom_site_fract_z
Ac1 0.0000 0.0000 0.0000
Ac2 0.0000 0.0000 0.1263
Ac3 0.0000 0.0000 0.5059
Pr1 0.0000 0.0000 0.6297
Ni1 0.0000 0.0000 0.3152
Ni2 0.0000 0.0000 0.8156
Ni3 0.0004 0.5002 0.0643
Ni4 0.1673 0.3345 0.8996
# Formation energy (meV/atom): -185
# D(E_F) (states/eV per atom): 0.69

[3]
# NiBP | Alexandria | PBE-GGA | optimized geometry
data_NiBP
_chemical_formula_sum 'Ni2 B2 P2'
_symmetry_space_group_name_H-M 'A m m 2'
_symmetry_Int_Tables_number 38
_cell_length_a 2.481
_cell_length_b 2.511
_cell_length_c 10.293
_cell_angle_alpha 90.00
_cell_angle_beta 90.00
_cell_angle_gamma 90.00
loop_
_symmetry_equiv_pos_as_xyz
'x,y,z'
'-x,-y,z'
'-x,y,z'
'x,-y,z'
'x,y+1/2,z+1/2'
'-x,-y+1/2,z+1/2'
'-x,y+1/2,z+1/2'
'x,-y+1/2,z+1/2'
loop_
_atom_site_label
_atom_site_fract_x
_atom_site_fract_y
_atom_site_fract_z
Ni1 0.000 0.000 0.000
B1 0.500 0.000 0.604
P1 0.500 0.000 0.794
# Formation energy (meV/atom): 78
# D(E_F) (states/eV per atom): 0.46
# ΔE to the lowest computed polymorph (eV/atom): 0.241

[4]
# Ho3AlCo | Alexandria | PBE-GGA | optimized geometry
data_Ho3AlCo
_chemical_formula_sum 'Ho12 Al4 Co4'
_symmetry_space_group_name_H-M 'C 1 2/m 1'
_symmetry_Int_Tables_number 12
_cell_length_a 9.785
_cell_length_b 6.284
_cell_length_c 8.646
_cell_angle_alpha 90.00
_cell_angle_beta 116.64
_cell_angle_gamma 90.00
loop_
_symmetry_equiv_pos_as_xyz
'x,y,z'
'-x,-y,-z'
'-x,y,-z'
'x,-y,z'
'x+1/2,y+1/2,z'
'-x+1/2,-y+1/2,-z'
'-x+1/2,y+1/2,-z'
'x+1/2,-y+1/2,z'
loop_
_atom_site_label
_atom_site_fract_x
_atom_site_fract_y
_atom_site_fract_z
Ho1 0.026 0.000 0.230
Ho2 0.186 0.500 0.872
Ho3 0.200 0.500 0.321
Al1 0.000 0.294 0.500
Co1 0.000 0.306 0.000
# Formation energy (meV/atom): -239
# D(E_F) (states/eV per atom): 0.90
# ΔE to the lowest computed polymorph (eV/atom): 0.000

[5]
# Co2AgAs | Alexandria | PBE-GGA | optimized geometry
data_Co2AgAs
_chemical_formula_sum 'Co2 Ag1 As1'
_symmetry_space_group_name_H-M 'P 1 2/m 1'
_symmetry_Int_Tables_number 10
_cell_length_a 2.837
_cell_length_b 3.697
_cell_length_c 5.482
_cell_angle_alpha 90.00
_cell_angle_beta 104.34
_cell_angle_gamma 90.00
loop_
_symmetry_equiv_pos_as_xyz
'x,y,z'
'-x,-y,-z'
'-x,y,-z'
'x,-y,z'
loop_
_atom_site_label
_atom_site_fract_x
_atom_site_fract_y
_atom_site_fract_z
Co1 0.135 0.000 0.287
Ag1 0.500 0.500 0.000
As1 0.500 0.500 0.500
# Formation energy (meV/atom): 236
# D(E_F) (states/eV per atom): 0.79

[6]
# LaCdTePH | Alexandria | PBE-GGA | optimized geometry
data_LaCdTePH
_chemical_formula_sum 'La1 Cd1 Te1 P1 H1'
_symmetry_space_group_name_H-M 'P 1'
_symmetry_Int_Tables_number 1
_cell_length_a 4.137
_cell_length_b 4.381
_cell_length_c 6.975
_cell_angle_alpha 90.11
_cell_angle_beta 107.22
_cell_angle_gamma 90.01
loop_
_symmetry_equiv_pos_as_xyz
'x,y,z'
loop_
_atom_site_label
_atom_site_fract_x
_atom_site_fract_y
_atom_site_fract_z
La1 0.000 0.000 0.000
Cd1 0.815 0.498 0.623
Te1 0.590 0.500 0.181
P1 0.341 0.000 0.682
H1 0.236 0.996 0.467
# D(E_F) (states/eV per atom): 0.48
# ΔE to the lowest computed polymorph (eV/atom): 0.051